(1)
{
  "formula": "BeZnPt",
  "functional": "PBE",
  "state": "optimized geometry",
  "cell": [[2.817, 0.000, 0.000], [-1.408, 2.439, 0.000], [0.000, 0.000, 5.879]],
  "species": ["Be", "Zn", "Pt"],
  "fractional_positions": [[0.000, 0.000, 0.017], [0.667, 0.333, 0.681], [0.333, 0.667, 0.302]],
  "volume_a3_per_cell": 40,
  "e_above_lowest_polymorph_ev_per_atom": 0.330,
  "n_ef_per_ev_fu": 1.89,
  "total_energy_ev_per_atom": -3.870
}

***

(2)
{
  "formula": "BeZnPt",
  "functional": "PBE",
  "state": "optimized geometry",
  "cell": [[-0.313, -2.442, -1.210], [-1.214, -1.859, 4.066], [-5.940, 1.336, -1.162]],
  "species": ["Be", "Be", "Zn", "Zn", "Pt", "Pt"],
  "fractional_positions": [[0.000, 0.250, 0.864], [0.000, 0.750, 0.136], [0.000, 0.500, 0.500], [0.000, 0.000, 0.500], [0.500, 0.750, 0.834], [0.500, 0.250, 0.166]],
  "volume_a3_per_cell": 79,
  "e_above_lowest_polymorph_ev_per_atom": 0.206,
  "n_ef_per_ev_fu": 1.15,
  "total_energy_ev_per_atom": -3.994
}

***

(3)
{
  "formula": "Be2ZnPt",
  "functional": "PBE",
  "state": "optimized geometry",
  "cell": [[-0.828, 0.711, -4.424], [-1.687, -3.597, -2.233], [-1.022, 2.174, 3.873]],
  "species": ["Be", "Be", "Zn", "Pt"],
  "fractional_positions": [[0.000, 0.000, 0.000], [0.250, 0.750, 0.500], [0.750, 0.250, 0.500], [0.500, 0.500, 0.000]],
  "volume_a3_per_cell": 46,
  "n_ef_per_ev_fu": 0.75,
  "total_energy_ev_per_atom": -4.069
}

***

| no. | formation enthalpy at 0 K (eV per atom) |
| --- | --- |
| 1 | -0.19 |
| 2 | -0.31 |
| 3 | -0.38 |